No. 1
## SmSi2Tc (PBE-GGA)

Data for a relaxed SmSi2Tc crystal.

abc: 3.143 3.143 6.951
angles: 90.00 90.00 90.00
Element x y z (fractional)
Sm  0.000  0.000  0.000
Si  0.500  0.500  0.311
Si  0.500  0.500  0.689
Tc  0.000  0.000  0.500

Values from the calculation:
The energy above the most stable polymorph in this dataset comes out at 246 meV/atom. The mass density is 7.36 g/cm³. For the volume, the calculation gives 68.7 Å³ per cell. The size of the total moment comes out at 0.00 μB per atom.

=====

No. 2
## SmSi2Tc2 (PBE-GGA)

Data for a relaxed SmSi2Tc2 crystal.

abc: 10.779 10.779 10.779
angles: 158.01 157.77 31.47
Element x y z (fractional)
Sm  0.414  0.164  0.250
Sm  0.586  0.836  0.750
Si  0.028  0.278  0.750
Si  0.144  0.394  0.750
Si  0.856  0.606  0.250
Si  0.972  0.722  0.250
Tc  0.213  0.963  0.250
Tc  0.289  0.539  0.750
Tc  0.711  0.461  0.250
Tc  0.787  0.037  0.750

Values from the calculation:
The energy above the most stable polymorph in this dataset comes out at 17 meV/atom. The mass density is 7.54 g/cm³. For the volume, the calculation gives 177.3 Å³ per cell. The size of the total moment comes out at 0.00 μB per atom.

=====

No. 3
## SmSi2Tc (PBE-GGA)

Data for a relaxed SmSi2Tc crystal.

abc: 7.281 3.967 10.160
angles: 90.00 90.00 90.00
Element x y z (fractional)
Sm  0.144  0.250  0.127
Sm  0.356  0.750  0.627
Sm  0.644  0.250  0.373
Sm  0.856  0.750  0.873
Si  0.158  0.250  0.813
Si  0.204  0.250  0.427
Si  0.296  0.750  0.927
Si  0.342  0.750  0.313
Si  0.658  0.250  0.687
Si  0.704  0.250  0.073
Si  0.796  0.750  0.573
Si  0.842  0.750  0.187
Tc  0.012  0.750  0.393
Tc  0.488  0.250  0.893
Tc  0.512  0.750  0.107
Tc  0.988  0.250  0.607

Values from the calculation:
The energy above the most stable polymorph in this dataset comes out at 0 meV/atom. The mass density is 6.89 g/cm³. For the volume, the calculation gives 293.5 Å³ per cell. The size of the total moment comes out at 0.00 μB per atom.

=====

No. 4
## Sm3SiTe2 (PBE-GGA)

Data for a relaxed Sm3SiTe2 crystal.

abc: 7.555 7.555 7.662
angles: 99.45 99.45 119.99
Element x y z (fractional)
Sm  0.071  0.424  0.772
Sm  0.221  0.221  0.223
Sm  0.424  0.071  0.772
Sm  0.576  0.929  0.228
Sm  0.779  0.779  0.777
Sm  0.929  0.576  0.228
Si  0.168  0.832  0.000
Si  0.832  0.168  0.000
Te  0.000  0.000  0.500
Te  0.340  0.660  0.500
Te  0.500  0.500  0.000
Te  0.660  0.340  0.500

Values from the calculation:
The energy above the most stable polymorph in this dataset comes out at 0 meV/atom. The mass density is 6.82 g/cm³. For the volume, the calculation gives 357.8 Å³ per cell. The size of the total moment comes out at 0.00 μB per atom.

=====

No. 5
## Sm6SiTe3 (PBE-GGA)

Data for a relaxed Sm6SiTe3 crystal.

abc: 12.297 4.152 12.622
angles: 90.00 104.58 90.00
Element x y z (fractional)
Sm  0.012  0.250  0.360
Sm  0.085  0.250  0.893
Sm  0.269  0.750  0.298
Sm  0.294  0.750  0.762
Sm  0.397  0.250  0.549
Sm  0.450  0.750  0.137
Sm  0.550  0.250  0.863
Sm  0.603  0.750  0.451
Sm  0.706  0.250  0.238
Sm  0.731  0.250  0.702
Sm  0.915  0.750  0.107
Sm  0.988  0.750  0.640
Si  0.456  0.250  0.317
Si  0.544  0.750  0.683
Te  0.110  0.250  0.149
Te  0.181  0.750  0.509
Te  0.343  0.250  0.955
Te  0.657  0.750  0.045
Te  0.819  0.250  0.491
Te  0.890  0.750  0.851

Values from the calculation:
The mass density is 6.99 g/cm³. For the volume, the calculation gives 623.7 Å³ per cell. For the calculated total energy, the calculation gives -5.23 eV per atom. The size of the total moment comes out at 0.04 μB per atom.

=====

No. 6
## Sm3SiTe6 (PBE-GGA)

Data for a relaxed Sm3SiTe6 crystal.

abc: 9.717 9.717 7.358
angles: 90.00 90.00 102.04
Element x y z (fractional)
Sm  0.094  0.906  0.500
Sm  0.224  0.416  0.387
Sm  0.416  0.224  0.887
Sm  0.584  0.776  0.387
Sm  0.776  0.584  0.887
Sm  0.906  0.094  0.000
Si  0.297  0.703  0.846
Si  0.703  0.297  0.346
Te  0.065  0.597  0.669
Te  0.124  0.202  0.695
Te  0.202  0.124  0.195
Te  0.280  0.720  0.209
Te  0.403  0.935  0.669
Te  0.460  0.540  0.703
Te  0.540  0.460  0.203
Te  0.597  0.065  0.169
Te  0.720  0.280  0.709
Te  0.798  0.876  0.695
Te  0.876  0.798  0.195
Te  0.935  0.403  0.169

Values from the calculation:
The mass density is 6.08 g/cm³. For the volume, the calculation gives 679.5 Å³ per cell. For the calculated total energy, the calculation gives -4.85 eV per atom. The size of the total moment comes out at 0.00 μB per atom.

=====

No. 7
## Sm6SiTe5 (PBE-GGA)

Data for a relaxed Sm6SiTe5 crystal.

abc: 7.649 7.649 7.665
angles: 99.56 99.56 119.89
Element x y z (fractional)
Sm  0.076  0.383  0.731
Sm  0.226  0.226  0.264
Sm  0.383  0.076  0.731
Sm  0.617  0.924  0.269
Sm  0.774  0.774  0.736
Sm  0.924  0.617  0.269
Si  0.000  0.000  0.500
Te  0.174  0.826  0.000
Te  0.335  0.665  0.500
Te  0.500  0.500  0.000
Te  0.665  0.335  0.500
Te  0.826  0.174  0.000

Values from the calculation:
The mass density is 7.10 g/cm³. For the volume, the calculation gives 366.7 Å³ per cell. For the calculated total energy, the calculation gives -5.47 eV per atom. The size of the total moment comes out at 0.00 μB per atom.

=====

No. 8
## Sm3SiTe2 (PBE-GGA)

Data for a relaxed Sm3SiTe2 crystal.

abc: 7.596 7.596 7.530
angles: 99.80 99.80 119.22
Element x y z (fractional)
Sm  0.000  0.500  0.000
Sm  0.144  0.292  0.496
Sm  0.292  0.144  0.996
Sm  0.500  0.000  0.500
Sm  0.708  0.856  0.004
Sm  0.856  0.708  0.504
Si  0.089  0.911  0.250
Si  0.911  0.089  0.750
Te  0.258  0.742  0.750
Te  0.419  0.581  0.250
Te  0.581  0.419  0.750
Te  0.742  0.258  0.250

Values from the calculation:
The energy above the most stable polymorph in this dataset comes out at 14 meV/atom. The mass density is 6.83 g/cm³. For the volume, the calculation gives 357.0 Å³ per cell. The size of the total moment comes out at 0.00 μB per atom.

=====

No. 9
## Sm7Si2Te2 (PBE-GGA)

Data for a relaxed Sm7Si2Te2 crystal.

abc: 7.080 7.080 7.105
angles: 90.00 90.00 100.29
Element x y z (fractional)
Sm  0.000  0.000  0.000
Sm  0.000  0.500  0.281
Sm  0.000  0.500  0.719
Sm  0.500  0.000  0.281
Sm  0.500  0.000  0.719
Sm  0.500  0.500  0.268
Sm  0.500  0.500  0.732
Si  0.217  0.217  0.500
Si  0.783  0.783  0.500
Te  0.279  0.721  0.000
Te  0.721  0.279  0.000

Values from the calculation:
The mass density is 6.46 g/cm³. For the volume, the calculation gives 350.4 Å³ per cell. For the calculated total energy, the calculation gives -4.93 eV per atom. The size of the total moment comes out at 0.00 μB per atom.

=====

No. 10
## Sm5SiTe2 (PBE-GGA)

Data for a relaxed Sm5SiTe2 crystal.

abc: 6.982 6.982 14.111
angles: 90.00 90.00 129.10
Element x y z (fractional)
Sm  0.053  0.947  0.625
Sm  0.053  0.947  0.875
Sm  0.302  0.698  0.250
Sm  0.377  0.623  0.598
Sm  0.377  0.623  0.902
Sm  0.623  0.377  0.098
Sm  0.623  0.377  0.402
Sm  0.698  0.302  0.750
Sm  0.947  0.053  0.125
Sm  0.947  0.053  0.375
Si  0.230  0.770  0.750
Si  0.770  0.230  0.250
Te  0.186  0.814  0.056
Te  0.186  0.814  0.444
Te  0.814  0.186  0.556
Te  0.814  0.186  0.944

Values from the calculation:
The mass density is 6.44 g/cm³. For the volume, the calculation gives 533.8 Å³ per cell. For the calculated total energy, the calculation gives -5.08 eV per atom. The size of the total moment comes out at 0.00 μB per atom.

=====

Number 7 is which compound? Sm6SiTe5

=====

Repeat the eighth record exactly.
## Sm3SiTe2 (PBE-GGA)

Data for a relaxed Sm3SiTe2 crystal.

abc: 7.596 7.596 7.530
angles: 99.80 99.80 119.22
Element x y z (fractional)
Sm  0.000  0.500  0.000
Sm  0.144  0.292  0.496
Sm  0.292  0.144  0.996
Sm  0.500  0.000  0.500
Sm  0.708  0.856  0.004
Sm  0.856  0.708  0.504
Si  0.089  0.911  0.250
Si  0.911  0.089  0.750
Te  0.258  0.742  0.750
Te  0.419  0.581  0.250
Te  0.581  0.419  0.750
Te  0.742  0.258  0.250

Values from the calculation:
The energy above the most stable polymorph in this dataset comes out at 14 meV/atom. The mass density is 6.83 g/cm³. For the volume, the calculation gives 357.0 Å³ per cell. The size of the total moment comes out at 0.00 μB per atom.